# CePm5Dy12 PBE relaxed
# N(E_F) in states/eV/atom: 1.476
# Formation enthalpy at 0 K in eV/atom: 0.03
# Electronic total energy in eV per formula unit: -84.4
data_CePm5Dy12
_space_group_name_H-M_alt 'P 1'
_space_group_IT_number 1
_space_group_name_Hall 'P 1'
_cell_length_a 10.7168
_cell_length_b 10.7168
_cell_length_c 6.1861
_cell_angle_alpha 106.66
_cell_angle_beta 106.66
_cell_angle_gamma 60.00
loop_
_atom_site_label
_atom_site_fract_x
_atom_site_fract_y
_atom_site_fract_z
Ce1 0.0000 0.0000 0.0000
Pm1 0.1654 0.1654 0.4949
Pm2 0.3332 0.3332 0.9997
Pm3 0.5000 0.5000 0.5000
Pm4 0.6668 0.6668 0.0003
Pm5 0.8346 0.8346 0.5051
Dy1 0.0011 0.6672 0.9998
Dy2 0.1658 0.5009 0.5003
Dy3 0.1658 0.8342 0.5000
Dy4 0.3306 0.6694 0.0000
Dy5 0.3328 0.9989 0.0002
Dy6 0.4991 0.8342 0.4997
Dy7 0.5009 0.1658 0.5003
Dy8 0.6672 0.0011 0.9998
Dy9 0.6694 0.3306 0.0000
Dy10 0.8342 0.1658 0.5000
Dy11 0.8342 0.4991 0.4997
Dy12 0.9989 0.3328 0.0002